# MnAl2OsF | Alexandria | PBE with a Hubbard U | optimized geometry
data_MnAl2OsF
_space_group_name_H-M_alt 'P 1'
_space_group_IT_number 1
_cell_length_a 4.223
_cell_length_b 4.318
_cell_length_c 4.223
_cell_angle_alpha 90.00
_cell_angle_beta 90.00
_cell_angle_gamma 90.00
loop_
_space_group_symop_operation_xyz
'x,y,z'
loop_
_atom_site_label
_atom_site_fract_x
_atom_site_fract_y
_atom_site_fract_z
_atom_site_occupancy
Os1 0.000 0.500 0.000 1
Al1 0.000 0.000 0.500 1
Mn1 0.500 0.500 0.500 1
Al2 0.500 0.000 0.000 1
F1 0.000 0.000 0.000 1
# **DFT total energy**: -5.298 eV per atom
# **V**: 15.40 Å³ per atom
# **M_tot**: 4.6 μB/cell
# **Crystal system**: tetragonal
# **D(E_F)**: 0.506 states/eV/atom